Entry 1:
Ag2Bi5O12: optimized geometry, GGA-PBE. Values from VASP.

Computed properties:
E_tot (eV per atom): -5.16
Formation energy without anion corrections (eV per atom): -0.710

Quantum ESPRESSO input file:
```
&SYSTEM
  ibrav = 0, nat = 19, ntyp = 3
/
ATOMIC_SPECIES
Bi 208.98 Bi.upf
O 16.00 O.upf
Ag 107.87 Ag.upf
CELL_PARAMETERS angstrom
6.410 0.000 0.000
-3.205 6.394 -0.037
0.000 -2.292 6.959
ATOMIC_POSITIONS crystal
Bi 0.298 0.596 0.650
Bi 0.000 0.000 0.500
Bi 0.684 0.368 0.829
Bi 0.702 0.404 0.350
Bi 0.316 0.632 0.171
O 0.557 0.661 0.910
O 0.997 0.994 0.799
O 0.499 0.999 0.802
O 0.105 0.661 0.910
O 0.895 0.339 0.090
O 0.003 0.006 0.201
O 0.089 0.719 0.419
O 0.630 0.719 0.419
O 0.501 0.001 0.198
O 0.443 0.339 0.090
O 0.370 0.281 0.581
O 0.911 0.281 0.581
Ag 0.753 0.000 0.000
Ag 0.247 0.000 0.000
```

***

Entry 2:
Ag2BiO: optimized geometry, GGA-PBE. Values from VASP.

Computed properties:
E_tot (eV per atom): -3.23
Formation energy without anion corrections (eV per atom): 0.401
Distance to the lowest polymorph of the same formula (meV per atom): 428

Quantum ESPRESSO input file:
```
&SYSTEM
  ibrav = 0, nat = 4, ntyp = 3
/
ATOMIC_SPECIES
O 16.00 O.upf
Bi 208.98 Bi.upf
Ag 107.87 Ag.upf
CELL_PARAMETERS angstrom
0.000 3.347 3.347
3.347 0.000 3.347
3.347 3.347 0.000
ATOMIC_POSITIONS crystal
O 0.000 0.000 0.000
Bi 0.500 0.500 0.500
Ag 0.250 0.250 0.250
Ag 0.750 0.750 0.750
```

***

Entry 3:
Ag2BiO3: optimized geometry, GGA-PBE. Values from VASP.

Computed properties:
E_tot (eV per atom): -4.64
Formation energy without anion corrections (eV per atom): -0.566
Distance to the lowest polymorph of the same formula (meV per atom): 0

Quantum ESPRESSO input file:
```
&SYSTEM
  ibrav = 0, nat = 24, ntyp = 3
/
ATOMIC_SPECIES
Ag 107.87 Ag.upf
Bi 208.98 Bi.upf
O 16.00 O.upf
CELL_PARAMETERS angstrom
-5.612 -2.511 -0.322
0.728 -2.374 5.838
-3.860 8.143 3.792
ATOMIC_POSITIONS crystal
Ag 0.247 0.499 0.996
Ag 0.970 0.752 0.251
Ag 0.753 0.501 0.996
Ag 0.530 0.252 0.751
Ag 0.747 0.001 0.496
Ag 0.253 0.999 0.496
Ag 0.030 0.248 0.251
Ag 0.470 0.748 0.751
Bi 0.500 0.500 0.397
Bi 0.000 0.000 0.897
Bi 0.500 0.000 0.104
Bi 0.000 0.500 0.604
O 0.108 0.775 0.746
O 0.177 0.816 0.058
O 0.392 0.275 0.246
O 0.323 0.316 0.558
O 0.608 0.725 0.246
O 0.693 0.820 0.933
O 0.823 0.184 0.058
O 0.807 0.320 0.433
O 0.677 0.684 0.558
O 0.307 0.180 0.933
O 0.193 0.680 0.433
O 0.892 0.225 0.746
```

***

The evaluated size of the total moment for the records listed, in turn: 0.0; 0.0; 0.0 μB per formula unit.